Record 1
The following is a PBE calculation of an optimized crystal structure of SrV3Si, from the Alexandria database. Values from VASP.

Calculated values
- ΔE_f (raw): 3.802 eV/f.u.
- Raw total energy: -6.132 eV/atom
- Excess energy over the best structure of this formula in the dataset: 0 meV/atom
- SG: Pm-3m, No. 221

The structure in Quantum ESPRESSO input format:
```
&SYSTEM
  ibrav = 0, nat = 5, ntyp = 3
/
ATOMIC_SPECIES
Sr 87.62 Sr.upf
V 50.94 V.upf
Si 28.09 Si.upf
ATOMIC_POSITIONS crystal
Sr 0.000 0.000 0.000
V 0.000 0.500 0.500
V 0.500 0.000 0.500
V 0.500 0.500 0.000
Si 0.500 0.500 0.500
CELL_PARAMETERS angstrom
4.845 0.000 0.000
0.000 4.845 0.000
0.000 0.000 4.845
```

***

Record 2
The following is a PBE calculation of an optimized crystal structure of SnBiN2, from the Alexandria database. Values from VASP.

Calculated values
- ΔE_f (raw): 3.306 eV/f.u.
- Raw total energy: -5.307 eV/atom
- Excess energy over the best structure of this formula in the dataset: 328 meV/atom
- SG: R-3m, No. 166

The structure in Quantum ESPRESSO input format:
```
&SYSTEM
  ibrav = 0, nat = 12, ntyp = 3
/
ATOMIC_SPECIES
Sn 118.71 Sn.upf
Bi 208.98 Bi.upf
N 14.01 N.upf
ATOMIC_POSITIONS crystal
Sn 0.000 0.000 0.000
Sn 0.333 0.667 0.667
Sn 0.667 0.333 0.333
Bi 0.000 0.000 0.500
Bi 0.333 0.667 0.167
Bi 0.667 0.333 0.833
N 0.000 0.000 0.107
N 0.000 0.000 0.893
N 0.333 0.667 0.559
N 0.333 0.667 0.774
N 0.667 0.333 0.226
N 0.667 0.333 0.441
CELL_PARAMETERS angstrom
3.473 0.000 0.000
-1.737 3.008 0.000
0.000 0.000 20.721
```

***

Record 3
The following is a PBE calculation of an optimized crystal structure of Tb2Pm3Ho4, from the Alexandria database. Values from VASP.

Calculated values
- Raw total energy: -4.630 eV/atom
- Excess energy over the best structure of this formula in the dataset: 0 meV/atom
- ΔH_f (0 K): 0.017 eV/atom
- SG: C2/m, No. 12

The structure in Quantum ESPRESSO input format:
```
&SYSTEM
  ibrav = 0, nat = 9, ntyp = 3
/
ATOMIC_SPECIES
Tb 158.93 Tb.upf
Pm 145.00 Pm.upf
Ho 164.93 Ho.upf
ATOMIC_POSITIONS crystal
Tb 0.054 0.054 0.221
Tb 0.946 0.946 0.779
Pm 0.390 0.390 0.557
Pm 0.500 0.500 0.000
Pm 0.610 0.610 0.443
Ho 0.169 0.169 0.669
Ho 0.278 0.278 0.111
Ho 0.722 0.722 0.889
Ho 0.831 0.831 0.331
CELL_PARAMETERS angstrom
5.920 -1.787 0.000
5.920 1.787 0.000
-5.386 0.000 13.707
```

***

Record 4
The following is a PBE calculation of an optimized crystal structure of Li2GaSiN, from the Alexandria database. Values from VASP.

Calculated values
- ΔE_f (raw): 1.852 eV/f.u.
- Raw total energy: -3.750 eV/atom
- SG: P4/mmm, No. 123

The structure in Quantum ESPRESSO input format:
```
&SYSTEM
  ibrav = 0, nat = 5, ntyp = 4
/
ATOMIC_SPECIES
Li 6.94 Li.upf
Ga 69.72 Ga.upf
Si 28.09 Si.upf
N 14.01 N.upf
ATOMIC_POSITIONS crystal
Li 0.000 0.500 0.000
Li 0.500 0.000 0.000
Ga 0.000 0.000 0.500
Si 0.500 0.500 0.000
N 0.500 0.500 0.500
CELL_PARAMETERS angstrom
5.163 0.000 0.000
0.000 5.163 0.000
0.000 0.000 3.417
```